A relaxed structure of PdCl. Source: the Alexandria database, functional GGA-PBE.

Computed properties:
V, Å³/cell: 184
Space-group type: F-43m
Formation energy from raw total energies, eV per atom: 0.0982

Cell lengths 5.691, 5.691, 5.691 Å; angles 90.00, 90.00, 90.00 degrees
Fractional coordinates of all 8 atoms:
1 Pd 0.000 0.000 0.000
2 Pd 0.000 0.500 0.500
3 Pd 0.500 0.000 0.500
4 Pd 0.500 0.500 0.000
5 Cl 0.250 0.250 0.250
6 Cl 0.250 0.750 0.750
7 Cl 0.750 0.250 0.750
8 Cl 0.750 0.750 0.250



A relaxed structure of PdCl. Source: the Alexandria database, functional GGA-PBE.

Computed properties:
V, Å³/cell: 146
Space-group type: Fm-3m
Formation energy from raw total energies, eV per atom: 0.0260

Cell lengths 5.269, 5.269, 5.269 Å; angles 90.00, 90.00, 90.00 degrees
Fractional coordinates of all 8 atoms:
1 Pd 0.000 0.000 0.000
2 Pd 0.000 0.500 0.500
3 Pd 0.500 0.000 0.500
4 Pd 0.500 0.500 0.000
5 Cl 0.000 0.000 0.500
6 Cl 0.000 0.500 0.000
7 Cl 0.500 0.000 0.000
8 Cl 0.500 0.500 0.500



A relaxed structure of PdCl. Source: the Alexandria database, functional GGA-PBE.

Computed properties:
V, Å³/cell: 279
Space-group type: P6_3/m
Formation energy from raw total energies, eV per atom: -0.0996

Cell lengths 9.288, 9.288, 3.730 Å; angles 90.00, 90.00, 120.00 degrees
Fractional coordinates of all 12 atoms:
1 Pd 0.077 0.465 0.250
2 Pd 0.387 0.923 0.250
3 Pd 0.465 0.387 0.750
4 Pd 0.535 0.613 0.250
5 Pd 0.613 0.077 0.750
6 Pd 0.923 0.535 0.750
7 Cl 0.191 0.789 0.750
8 Cl 0.211 0.402 0.750
9 Cl 0.402 0.191 0.250
10 Cl 0.598 0.809 0.750
11 Cl 0.789 0.598 0.250
12 Cl 0.809 0.211 0.250



A relaxed structure of PdCl. Source: the Alexandria database, functional GGA-PBE.

Computed properties:
V, Å³/cell: 344
Space-group type: Pm-3n
Formation energy from raw total energies, eV per atom: 0.1312

Cell lengths 7.004, 7.004, 7.004 Å; angles 90.00, 90.00, 90.00 degrees
Fractional coordinates of all 12 atoms:
1 Pd 0.000 0.250 0.500
2 Pd 0.000 0.750 0.500
3 Pd 0.250 0.500 0.000
4 Pd 0.500 0.000 0.250
5 Pd 0.500 0.000 0.750
6 Pd 0.750 0.500 0.000
7 Cl 0.000 0.500 0.250
8 Cl 0.000 0.500 0.750
9 Cl 0.250 0.000 0.500
10 Cl 0.500 0.250 0.000
11 Cl 0.500 0.750 0.000
12 Cl 0.750 0.000 0.500



A relaxed structure of PdCl. Source: the Alexandria database, functional GGA-PBE.

Computed properties:
V, Å³/cell: 231
Space-group type: Pmmn
Formation energy from raw total energies, eV per atom: 0.0155

Cell lengths 5.036, 13.021, 3.530 Å; angles 90.00, 90.00, 90.00 degrees
Fractional coordinates of all 12 atoms:
1 Pd 0.250 0.082 0.175
2 Pd 0.250 0.418 0.175
3 Pd 0.250 0.750 0.405
4 Pd 0.750 0.250 0.595
5 Pd 0.750 0.582 0.825
6 Pd 0.750 0.918 0.825
7 Cl 0.250 0.250 0.488
8 Cl 0.250 0.590 0.909
9 Cl 0.250 0.910 0.909
10 Cl 0.750 0.090 0.091
11 Cl 0.750 0.410 0.091
12 Cl 0.750 0.750 0.512



A relaxed structure of PdCl4. Source: the Alexandria database, functional GGA-PBE.

Computed properties:
V, Å³/cell: 284
Space-group type: C2/c
Formation energy from raw total energies, eV per atom: -0.2979

Cell lengths 7.776, 7.776, 6.128 Å; angles 93.06, 93.06, 129.49 degrees
Fractional coordinates of all 10 atoms:
1 Pd 0.063 0.937 0.750
2 Pd 0.937 0.063 0.250
3 Cl 0.031 0.389 0.136
4 Cl 0.141 0.262 0.595
5 Cl 0.262 0.141 0.095
6 Cl 0.389 0.031 0.636
7 Cl 0.611 0.969 0.364
8 Cl 0.738 0.859 0.905
9 Cl 0.859 0.738 0.405
10 Cl 0.969 0.611 0.864



A relaxed structure of PdCl4. Source: the Alexandria database, functional GGA-PBE.

Computed properties:
V, Å³/cell: 115
Space-group type: Pm-3m
Formation energy from raw total energies, eV per atom: 0.0940

Cell lengths 4.859, 4.859, 4.859 Å; angles 90.00, 90.00, 90.00 degrees
Fractional coordinates of all 5 atoms:
1 Pd 0.000 0.000 0.000
2 Cl 0.000 0.000 0.500
3 Cl 0.000 0.500 0.000
4 Cl 0.500 0.000 0.000
5 Cl 0.500 0.500 0.500



A relaxed structure of PdCl. Source: the Alexandria database, functional GGA-PBE.

Computed properties:
V, Å³/cell: 342
Space-group type: I4/mmm
Formation energy from raw total energies, eV per atom: -0.0847

Cell lengths 10.517, 10.517, 3.089 Å; angles 90.00, 90.00, 90.00 degrees
Fractional coordinates of all 16 atoms:
1 Pd 0.164 0.164 0.000
2 Pd 0.164 0.836 0.000
3 Pd 0.336 0.336 0.500
4 Pd 0.336 0.664 0.500
5 Pd 0.664 0.336 0.500
6 Pd 0.664 0.664 0.500
7 Pd 0.836 0.164 0.000
8 Pd 0.836 0.836 0.000
9 Cl 0.000 0.306 0.000
10 Cl 0.000 0.694 0.000
11 Cl 0.194 0.500 0.500
12 Cl 0.306 0.000 0.000
13 Cl 0.500 0.194 0.500
14 Cl 0.500 0.806 0.500
15 Cl 0.694 0.000 0.000
16 Cl 0.806 0.500 0.500



A relaxed structure of PdCl8. Source: the Alexandria database, functional GGA-PBE.

Computed properties:
V, Å³/cell: 296
Space-group type: Immm
Formation energy from raw total energies, eV per atom: -0.0384

Cell lengths 7.332, 7.332, 7.332 Å; angles 116.84, 112.74, 99.32 degrees
Fractional coordinates of all 9 atoms:
1 Pd 0.000 0.000 0.000
2 Cl 0.000 0.295 0.295
3 Cl 0.000 0.705 0.705
4 Cl 0.244 0.244 0.000
5 Cl 0.316 0.685 0.369
6 Cl 0.316 0.947 0.631
7 Cl 0.684 0.053 0.369
8 Cl 0.684 0.315 0.631
9 Cl 0.756 0.756 0.000



A relaxed structure of PdCl2. Source: the Alexandria database, functional GGA-PBE.

Computed properties:
V, Å³/cell: 496
Space-group type: P-1
Formation energy from raw total energies, eV per atom: -0.2914

Cell lengths 4.869, 9.217, 11.322 Å; angles 93.07, 101.95, 91.89 degrees
Fractional coordinates of all 18 atoms:
1 Pd 0.072 0.201 0.309
2 Pd 0.228 0.376 0.561
3 Pd 0.385 0.057 0.790
4 Pd 0.615 0.943 0.210
5 Pd 0.772 0.624 0.439
6 Pd 0.928 0.799 0.691
7 Cl 0.064 0.455 0.361
8 Cl 0.098 0.449 0.940
9 Cl 0.135 0.958 0.239
10 Cl 0.343 0.814 0.841
11 Cl 0.399 0.304 0.757
12 Cl 0.468 0.203 0.468
13 Cl 0.532 0.797 0.532
14 Cl 0.601 0.696 0.243
15 Cl 0.657 0.186 0.159
16 Cl 0.865 0.042 0.761
17 Cl 0.902 0.551 0.060
18 Cl 0.936 0.545 0.639



A relaxed structure of PdCl. Source: the Alexandria database, functional GGA-PBE.

Computed properties:
V, Å³/cell: 458
Space-group type: I-43m
Formation energy from raw total energies, eV per atom: 0.0442

Cell lengths 7.708, 7.708, 7.708 Å; angles 90.00, 90.00, 90.00 degrees
Fractional coordinates of all 16 atoms:
1 Pd 0.130 0.130 0.870
2 Pd 0.130 0.870 0.130
3 Pd 0.370 0.370 0.370
4 Pd 0.370 0.630 0.630
5 Pd 0.630 0.370 0.630
6 Pd 0.630 0.630 0.370
7 Pd 0.870 0.130 0.130
8 Pd 0.870 0.870 0.870
9 Cl 0.193 0.193 0.193
10 Cl 0.193 0.807 0.807
11 Cl 0.307 0.307 0.693
12 Cl 0.307 0.693 0.307
13 Cl 0.693 0.307 0.307
14 Cl 0.693 0.693 0.693
15 Cl 0.807 0.193 0.807
16 Cl 0.807 0.807 0.193



A relaxed structure of PdCl2. Source: the Alexandria database, functional GGA-PBE.

Computed properties:
V, Å³/cell: 322
Space-group type: P2_1/c
Formation energy from raw total energies, eV per atom: -0.4636

Cell lengths 6.114, 8.424, 6.380 Å; angles 90.00, 101.83, 90.00 degrees
Fractional coordinates of all 12 atoms:
1 Pd 0.217 0.131 0.000
2 Pd 0.217 0.369 0.500
3 Pd 0.783 0.631 0.500
4 Pd 0.783 0.869 0.000
5 Cl 0.007 0.551 0.264
6 Cl 0.007 0.949 0.764
7 Cl 0.429 0.198 0.749
8 Cl 0.429 0.302 0.249
9 Cl 0.571 0.698 0.751
10 Cl 0.571 0.802 0.251
11 Cl 0.993 0.051 0.236
12 Cl 0.993 0.449 0.736



A relaxed structure of PmPd2Cl8. Source: the Alexandria database, functional GGA-PBE.

Computed properties:
V, Å³/cell: 343
Space-group type: C2/m
Formation energy from raw total energies, eV per atom: -0.8460

Cell lengths 8.518, 8.518, 4.954 Å; angles 96.42, 96.42, 74.49 degrees
Fractional coordinates of all 11 atoms:
1 Pm 0.000 0.000 0.000
2 Pd 0.230 0.230 0.770
3 Pd 0.770 0.770 0.230
4 Cl 0.071 0.726 0.265
5 Cl 0.210 0.210 0.268
6 Cl 0.274 0.929 0.735
7 Cl 0.398 0.398 0.822
8 Cl 0.602 0.602 0.178
9 Cl 0.726 0.071 0.265
10 Cl 0.790 0.790 0.732
11 Cl 0.929 0.274 0.735



A relaxed structure of Pm4Pd2Cl. Source: the Alexandria database, functional GGA-PBE.

Computed properties:
V, Å³/cell: 399
Space-group type: I4/mmm
Formation energy from raw total energies, eV per atom: -0.6207

Cell lengths 5.301, 5.301, 14.205 Å; angles 90.00, 90.00, 90.00 degrees
Fractional coordinates of all 14 atoms:
1 Pm 0.000 0.000 0.201
2 Pm 0.000 0.000 0.799
3 Pm 0.000 0.500 0.000
4 Pm 0.000 0.500 0.500
5 Pm 0.500 0.000 0.000
6 Pm 0.500 0.000 0.500
7 Pm 0.500 0.500 0.299
8 Pm 0.500 0.500 0.701
9 Pd 0.000 0.000 0.392
10 Pd 0.000 0.000 0.608
11 Pd 0.500 0.500 0.108
12 Pd 0.500 0.500 0.892
13 Cl 0.000 0.000 0.000
14 Cl 0.500 0.500 0.500



A relaxed structure of RbPmPdCl6. Source: the Alexandria database, functional GGA-PBE.

Computed properties:
V, Å³/cell: 302
Space-group type: P312
Formation energy from raw total energies, eV per atom: -1.5579

Cell lengths 6.842, 6.842, 7.446 Å; angles 90.00, 90.00, 120.00 degrees
Fractional coordinates of all 9 atoms:
1 Rb 0.000 0.000 0.000
2 Pm 0.667 0.333 0.500
3 Pd 0.333 0.667 0.500
4 Cl 0.019 0.378 0.704
5 Cl 0.019 0.641 0.296
6 Cl 0.359 0.378 0.296
7 Cl 0.359 0.981 0.704
8 Cl 0.622 0.641 0.704
9 Cl 0.622 0.981 0.296



A relaxed structure of Pm6PdRu2Cl3. Source: the Alexandria database, functional GGA-PBE.

Computed properties:
V, Å³/cell: 324
Space-group type: C2/m
Formation energy from raw total energies, eV per atom: -1.0017

Cell lengths 7.013, 7.013, 7.950 Å; angles 98.41, 98.41, 120.05 degrees
Fractional coordinates of all 12 atoms:
1 Pm 0.083 0.431 0.793
2 Pm 0.220 0.220 0.207
3 Pm 0.431 0.083 0.793
4 Pm 0.569 0.917 0.207
5 Pm 0.780 0.780 0.793
6 Pm 0.917 0.569 0.207
7 Pd 0.500 0.500 0.000
8 Ru 0.166 0.834 0.000
9 Ru 0.834 0.166 0.000
10 Cl 0.000 0.000 0.500
11 Cl 0.328 0.672 0.500
12 Cl 0.672 0.328 0.500



A relaxed structure of Pm3TePdCl. Source: the Alexandria database, functional GGA-PBE.

Computed properties:
V, Å³/cell: 338
Space-group type: P2_1/m
Formation energy from raw total energies, eV per atom: -1.1694

Cell lengths 7.483, 4.070, 11.311 Å; angles 90.00, 101.24, 90.00 degrees
Fractional coordinates of all 12 atoms:
1 Pm 0.034 0.250 0.144
2 Pm 0.288 0.250 0.509
3 Pm 0.455 0.750 0.844
4 Pm 0.545 0.250 0.156
5 Pm 0.712 0.750 0.491
6 Pm 0.966 0.750 0.856
7 Te 0.333 0.750 0.308
8 Te 0.667 0.250 0.692
9 Pd 0.241 0.250 0.947
10 Pd 0.759 0.750 0.053
11 Cl 0.105 0.750 0.624
12 Cl 0.895 0.250 0.376



A relaxed structure of Pr6PdCl8. Source: the Alexandria database, functional GGA-PBE.

Computed properties:
V, Å³/cell: 449
Space-group type: R-3
Formation energy from raw total energies, eV per atom: -1.6688

Cell lengths 11.044, 11.044, 11.044 Å; angles 37.56, 37.56, 37.56 degrees
Fractional coordinates of all 15 atoms:
1 Pr 0.054 0.722 0.388
2 Pr 0.278 0.612 0.946
3 Pr 0.388 0.054 0.722
4 Pr 0.612 0.946 0.278
5 Pr 0.722 0.388 0.054
6 Pr 0.946 0.278 0.612
7 Pd 0.000 0.000 0.000
8 Cl 0.110 0.435 0.783
9 Cl 0.217 0.890 0.565
10 Cl 0.333 0.333 0.333
11 Cl 0.435 0.783 0.110
12 Cl 0.565 0.217 0.890
13 Cl 0.667 0.667 0.667
14 Cl 0.783 0.110 0.435
15 Cl 0.890 0.565 0.217



A relaxed structure of PrPdCl. Source: the Alexandria database, functional GGA-PBE.

Computed properties:
V, Å³/cell: 73
Space-group type: P-6m2
Energy above the lowest structure with this stoichiometry, kJ/mol of atoms: 11.5
Formation energy from raw total energies, eV per atom: -0.9111

Cell lengths 4.758, 4.758, 3.706 Å; angles 90.00, 90.00, 120.00 degrees
Fractional coordinates of all 3 atoms:
1 Pr 0.000 0.000 0.000
2 Pd 0.333 0.667 0.500
3 Cl 0.667 0.333 0.000



A relaxed structure of PrPdCl. Source: the Alexandria database, functional GGA-PBE.

Computed properties:
V, Å³/cell: 372
Space-group type: Fmmm
Energy above the lowest structure with this stoichiometry, kJ/mol of atoms: 0.0
Formation energy from raw total energies, eV per atom: -1.0306

Cell lengths 11.777, 8.868, 8.629 Å; angles 84.60, 48.56, 46.84 degrees
Fractional coordinates of all 12 atoms:
1 Pr 0.030 0.719 0.281
2 Pr 0.281 0.970 0.030
3 Pr 0.719 0.030 0.970
4 Pr 0.970 0.281 0.719
5 Pd 0.076 0.076 0.924
6 Pd 0.263 0.737 0.263
7 Pd 0.737 0.263 0.737
8 Pd 0.924 0.924 0.076
9 Cl 0.146 0.472 0.528
10 Cl 0.472 0.146 0.854
11 Cl 0.528 0.854 0.146
12 Cl 0.854 0.528 0.472



A relaxed structure of Pr4Pd2Cl. Source: the Alexandria database, functional GGA-PBE.

Computed properties:
V, Å³/cell: 386
Space-group type: C2/m
Formation energy from raw total energies, eV per atom: -0.8539

Cell lengths 13.250, 4.073, 8.799 Å; angles 90.00, 125.69, 90.00 degrees
Fractional coordinates of all 14 atoms:
1 Pr 0.093 0.000 0.397
2 Pr 0.178 0.500 0.084
3 Pr 0.322 0.000 0.916
4 Pr 0.407 0.500 0.603
5 Pr 0.593 0.500 0.397
6 Pr 0.678 0.000 0.084
7 Pr 0.822 0.500 0.916
8 Pr 0.907 0.000 0.603
9 Pd 0.121 0.500 0.681
10 Pd 0.379 0.000 0.319
11 Pd 0.621 0.000 0.681
12 Pd 0.879 0.500 0.319
13 Cl 0.000 0.000 0.000
14 Cl 0.500 0.500 0.000